(1)
## SmErCuIr (PBE-GGA)

Data for a relaxed SmErCuIr crystal.

Summary:
- Energy above the most stable polymorph in this dataset: 0 meV per atom
- Crystal system: orthorhombic

abc: 4.3258 3.8619 10.4936
angles: 90.00 90.00 90.00
Last column: nearest neighbours and their distance in Å.
Space group Amm2 (No. 38)
One atom of each set of equivalent atoms:
1 Sm 0.0000 0.0000 0.0000 [2 per cell]  3 Ir 2.93-3.02, 4 Cu 2.99
2 Er 0.5000 0.0000 0.7215 [2 per cell]  3 Cu 2.92-3.06, 4 Ir 2.96
3 Cu 0.5000 0.0000 0.4300 [2 per cell]  2 Ir 2.68, 2 Er 2.92, 4 Sm 2.99
4 Ir 0.0000 0.0000 0.2792 [2 per cell]  2 Cu 2.68, 1 Sm 2.93, 4 Er 2.96

***

(2)
## CsPuCd17 (PBE-GGA)

Data for a relaxed CsPuCd17 crystal.

Summary:
- Crystal system: trigonal
- VASP energy: -93.5 eV per cell

abc: 10.3258 10.3258 15.3387
angles: 90.00 90.00 120.00
Last column: nearest neighbours and their distance in Å.
Space group R3m (No. 160, hexagonal axes)
One atom of each set of equivalent atoms:
1 Cs 0.0000 0.0000 0.0000 [3 per cell]  19 Cd 3.69-4.04
2 Pu 0.0000 0.0000 0.3297 [3 per cell]  13 Cd 3.43-3.62
3 Cd 0.0000 0.0000 0.5533 [3 per cell]  7 Cd 3.04-3.25
4 Cd 0.0000 0.0000 0.7513 [3 per cell]  10 Cd 3.04-3.35
5 Cd 0.0402 0.3691 0.3270 [18 per cell]  7 Cd 2.98-3.27
6 Cd 0.1743 0.3486 0.1379 [9 per cell]  9 Cd 2.99-3.27
7 Cd 0.1750 0.3500 0.4971 [9 per cell]  10 Cd 2.99-3.25
8 Cd 0.1845 0.3690 0.8486 [9 per cell]  8 Cd 2.99-3.35